1.
Compound: La2Sb3AsPd4
Source: the Alexandria database
Functional: GGA-PBE
Structure: relaxed

Summary:
calculated total energy: -56.67 eV/cell
D(E_F): 0.37 states/eV/atom
formation energy (no corrections): -0.903 eV/atom

a b c (Å): 4.6591 4.6591 10.3608
angles (deg): 90.00 90.00 90.00
Last column: nearest neighbours and their distance in Å.
Space group P-4m2 (No. 115)
Symmetry-distinct sites (fractional):
La 0.0000 0.5000 0.2483 [2 per cell]  2 As 3.47, 6 Sb 3.47-3.52, 9 Pd 3.50-3.78
Sb 0.0000 0.0000 0.0000 [1 per cell]  4 Pd 2.62
Sb 0.0000 0.5000 0.6311 [2 per cell]  5 Pd 2.62-2.70
As 0.5000 0.5000 0.0000 [1 per cell]  4 Pd 2.62
Pd 0.0000 0.0000 0.5000 [1 per cell]  4 Sb 2.70
Pd 0.0000 0.5000 0.8838 [2 per cell]  3 Sb 2.62, 2 As 2.62
Pd 0.5000 0.5000 0.5000 [1 per cell]  4 Sb 2.70



2.
Compound: SiPIr2N
Source: the Alexandria database
Functional: GGA-PBE
Structure: relaxed

Summary:
calculated total energy: -33.05 eV/cell
D(E_F): 0.46 states/eV/atom
formation energy (no corrections): 0.767 eV/atom

a b c (Å): 4.6568 4.6568 3.1895
angles (deg): 90.00 90.00 90.00
Last column: nearest neighbours and their distance in Å.
Space group P4/mmm (No. 123)
Symmetry-distinct sites (fractional):
Si 0.0000 0.0000 0.0000 [1 per cell]  8 Ir 2.82
P 0.5000 0.5000 0.5000 [1 per cell]  2 N 1.59
Ir 0.0000 0.5000 0.5000 [2 per cell]  2 P 2.33
N 0.5000 0.5000 0.0000 [1 per cell]  2 P 1.59